Entry 1:
Below is a relaxed structure of CsLaBe2Cl8, with properties calculated at the PBE-GGA level.

Geometry as POSCAR:
```
CsLaBe2Cl8
1.0
6.371 0.000 0.000
3.186 5.518 0.000
3.186 1.839 10.249
Cs Be Cl La
1 2 8 1
Direct
0.500 0.500 0.500
0.254 0.254 0.237
0.746 0.746 0.763
0.421 0.715 0.835
0.715 0.029 0.835
0.809 0.809 0.573
0.971 0.579 0.165
0.191 0.191 0.427
0.029 0.421 0.835
0.285 0.971 0.165
0.579 0.285 0.165
0.000 0.000 0.000
```

Results
- Total moment: 0.0 μB per formula unit
- DOS(E_F): 0.00 states/eV/cell
- Formation energy without anion corrections: -1.844 eV/atom
- Crystal system: trigonal

---

Entry 2:
Below is a relaxed structure of Si3HW, with properties calculated at the PBE-GGA level.

Geometry as POSCAR:
```
Si3HW
1.0
4.754 0.000 0.000
0.000 4.754 0.000
0.000 0.000 4.754
Si H W
3 1 1
Direct
0.500 0.000 0.000
0.000 0.500 0.000
0.000 0.000 0.500
0.500 0.500 0.500
0.000 0.000 0.000
```

Results
- Total moment: 1.0 μB per formula unit
- E above lowest polymorph: 261 meV per atom
- DOS(E_F): 0.17 states/eV/cell
- Crystal system: cubic

---

Entry 3:
Below is a relaxed structure of HfGe3H, with properties calculated at the PBE-GGA level.

Geometry as POSCAR:
```
HfGe3H
1.0
5.203 0.000 0.000
0.000 5.203 0.000
0.000 0.000 5.203
Hf H Ge
1 1 3
Direct
0.000 0.000 0.000
0.500 0.500 0.500
0.000 0.000 0.500
0.500 0.000 0.000
0.000 0.500 0.000
```

Results
- Total moment: 1.0 μB per formula unit
- E above lowest polymorph: 760 meV per atom
- DOS(E_F): 2.10 states/eV/cell
- Crystal system: cubic

---

Entry 4:
Below is a relaxed structure of Ce12SnHg6, with properties calculated at the PBE-GGA level.

Geometry as POSCAR:
```
Ce12SnHg6
1.0
7.911 0.742 0.889
-0.466 7.932 0.889
-0.466 -0.543 7.963
Ce Hg Sn
12 6 1
Direct
0.227 0.498 0.594
0.594 0.227 0.498
0.498 0.594 0.227
0.138 0.367 0.076
0.862 0.633 0.924
0.406 0.773 0.502
0.502 0.406 0.773
0.924 0.862 0.633
0.633 0.924 0.862
0.076 0.138 0.367
0.367 0.076 0.138
0.773 0.502 0.406
0.730 0.908 0.276
0.270 0.092 0.724
0.908 0.276 0.730
0.276 0.730 0.908
0.092 0.724 0.270
0.724 0.270 0.092
0.000 0.000 0.000
```

Results
- Total moment: 7.6 μB per formula unit
- E_form: -0.162 eV per atom
- DOS(E_F): 47.53 states/eV/cell
- Crystal system: trigonal

---

Entry 5:
Below is a relaxed structure of LaZr2Br, with properties calculated at the PBE-GGA level.

Geometry as POSCAR:
```
LaZr2Br
1.0
-1.199 -2.846 -1.447
3.168 1.076 -0.659
3.461 -5.419 7.790
Zr La Br
2 1 1
Direct
0.000 0.000 0.020
0.000 0.000 0.480
0.500 0.500 0.750
0.500 0.500 0.250
```

Results
- Total moment: 0.0 μB per formula unit
- E above lowest polymorph: 245 meV per atom
- DOS(E_F): 4.26 states/eV/cell
- Formation energy without anion corrections: -0.023 eV/atom
- Crystal system: orthorhombic

---

Entry 6:
Below is a relaxed structure of Mg2AlZn5, with properties calculated at the PBE-GGA level.

Geometry as POSCAR:
```
Mg2AlZn5
1.0
-0.933 -3.978 1.427
2.443 -1.700 -3.142
5.005 3.053 5.220
Al Zn Mg
1 5 2
Direct
0.000 0.000 0.000
0.883 0.383 0.766
0.500 0.500 0.000
0.617 0.117 0.234
0.117 0.617 0.234
0.383 0.883 0.766
0.249 0.249 0.498
0.751 0.751 0.502
```

Results
- Total moment: 0.0 μB per formula unit
- E_form: 0.009 eV per atom
- DOS(E_F): 2.85 states/eV/cell
- Crystal system: tetragonal

---

Entry 7:
Below is a relaxed structure of Rb3Na3ScCl8, with properties calculated at the PBE-GGA level.

Geometry as POSCAR:
```
Rb3Na3ScCl8
1.0
8.452 0.000 0.000
-4.226 7.330 -0.028
0.000 -4.865 7.431
Cl Na Sc Rb
8 3 1 3
Direct
0.245 0.027 0.310
0.218 0.435 0.690
0.782 0.027 0.310
0.782 0.565 0.310
0.263 0.526 0.290
0.218 0.973 0.690
0.737 0.474 0.710
0.755 0.973 0.690
0.500 0.500 0.500
0.000 0.500 0.500
0.500 0.000 0.500
0.000 0.000 0.500
0.000 0.000 0.000
0.500 0.500 0.000
0.000 0.500 0.000
```

Results
- Total moment: 1.0 μB per formula unit
- DOS(E_F): 3.54 states/eV/cell
- Formation energy without anion corrections: -1.836 eV/atom
- Crystal system: monoclinic

---

Entry 8:
Below is a relaxed structure of Ac2Pr3Ir2, with properties calculated at the PBE-GGA level.

Geometry as POSCAR:
```
Ac2Pr3Ir2
1.0
4.068 0.000 0.000
-2.034 6.423 -0.477
0.000 -3.563 8.840
Pr Ir Ac
3 2 2
Direct
0.380 0.761 0.578
0.620 0.239 0.422
0.500 0.000 0.000
0.177 0.353 0.247
0.823 0.647 0.753
0.170 0.340 0.801
0.830 0.660 0.199
```

Results
- Total moment: 0.0 μB per formula unit
- E_form: -0.465 eV per atom
- DOS(E_F): 7.34 states/eV/cell
- Crystal system: monoclinic

---

Entry 9:
Below is a relaxed structure of Sr2CdPb2, with properties calculated at the PBE-GGA level.

Geometry as POSCAR:
```
Sr2CdPb2
1.0
-3.761 7.481 -4.419
-6.334 0.936 6.975
2.568 2.472 2.000
Sr Pb Cd
4 4 2
Direct
0.819 0.681 0.000
0.681 0.181 0.000
0.181 0.319 0.000
0.319 0.819 0.000
0.617 0.883 0.500
0.883 0.383 0.500
0.383 0.117 0.500
0.117 0.617 0.500
0.500 0.500 0.000
0.000 0.000 0.000
```

Results
- Total moment: 0.0 μB per formula unit
- E_form: -0.270 eV per atom
- E above lowest polymorph: 201 meV per atom
- DOS(E_F): 5.68 states/eV/cell
- Crystal system: tetragonal

---

Entry 10:
Below is a relaxed structure of Rb3NpBi2S6, with properties calculated at the PBE-GGA level.

Geometry as POSCAR:
```
Rb3NpBi2S6
1.0
7.270 -0.001 0.001
-3.634 6.296 0.001
-1.212 -2.098 7.683
S Bi Rb Np
6 2 3 1
Direct
0.261 0.261 0.802
0.392 0.066 0.198
0.934 0.608 0.802
0.066 0.392 0.198
0.739 0.739 0.198
0.608 0.934 0.802
0.666 0.334 0.000
0.334 0.666 0.000
0.500 0.500 0.500
0.831 0.169 0.500
0.169 0.831 0.500
0.000 0.000 0.000
```

Results
- Total moment: 4.0 μB per formula unit
- DOS(E_F): 6.77 states/eV/cell
- Formation energy without anion corrections: -0.963 eV/atom
- Crystal system: monoclinic

---

Entry 11:
Below is a relaxed structure of Zr2IrW, with properties calculated at the PBE-GGA level.

Geometry as POSCAR:
```
Zr2IrW
1.0
-1.806 5.284 -7.288
-4.477 5.602 -5.734
-2.046 7.404 -5.030
Zr W Ir
2 1 1
Direct
0.502 0.502 0.502
0.998 0.998 0.998
0.750 0.750 0.750
0.250 0.250 0.250
```

Results
- Total moment: 0.0 μB per formula unit
- E_form: 0.028 eV per atom
- DOS(E_F): 3.47 states/eV/cell
- Crystal system: trigonal

---

Entry 12:
Below is a relaxed structure of LuZrInPt, with properties calculated at the PBE-GGA level.

Geometry as POSCAR:
```
LuZrInPt
1.0
4.951 0.000 0.000
2.476 4.288 0.000
2.476 1.429 4.042
In Lu Pt Zr
1 1 1 1
Direct
0.250 0.250 0.250
0.000 0.000 0.000
0.750 0.750 0.750
0.500 0.500 0.500
```

Results
- Total moment: 0.0 μB per formula unit
- E_form: -0.587 eV per atom
- DOS(E_F): 3.59 states/eV/cell
- Crystal system: cubic